DFT (PBE) results for a relaxed structure of LiLa8Pr5.

a = 8.7227 Å, b = 8.7227 Å, c = 8.7227 Å
α = 110.53°, β = 110.53°, γ = 107.38°
Fractional coordinates of all 14 atoms:
1 Li 0.0000 0.0000 0.0000
2 La 0.0687 0.2958 0.3810
3 La 0.1743 0.4094 0.9019
4 La 0.3124 0.9313 0.2272
5 La 0.5075 0.2724 0.0981
6 La 0.5906 0.4925 0.7649
7 La 0.7042 0.0852 0.7728
8 La 0.7276 0.8257 0.2351
9 La 0.9148 0.6876 0.6190
10 Pr 0.2300 0.0330 0.6093
11 Pr 0.3794 0.7700 0.8030
12 Pr 0.4236 0.6206 0.3907
13 Pr 0.7500 0.2500 0.5000
14 Pr 0.9670 0.5764 0.1970

Properties
The value obtained for the total energy is -0.1641 Ha/atom.